Entry 1:
A plane-wave DFT calculation with PBE-GGA was carried out for an optimized crystal structure of Ho5Tm2Bi4.

Results
E_form (eV/atom): -0.243
Total energy (eV/atom): -4.549

Lattice parameters (Å, degrees): 29.0083 3.5060 7.2736 90.00 103.85 90.00
Last column: nearest neighbours and their distance in Å.
Space group C2/m (No. 12)
Inequivalent atoms, fractional coordinates:
Ho1 0.0000 0.0000 0.0000  4 Bi 3.14, 2 Ho 3.51
Ho2 0.0890 0.5000 0.3693  3 Bi 3.17-3.42, 2 Ho 3.51
Ho3 0.2106 0.5000 0.3187  3 Bi 3.20-3.38, 4 Ho 3.51-3.52, 2 Tm 3.55
Tm1 0.1213 0.0000 0.9874  3 Bi 3.18-3.25, 2 Tm 3.51, 3 Ho 3.54-3.55
Bi1 0.0386 0.5000 0.7105  3 Ho 3.14-3.17, 2 Tm 3.25, 3 Bi 3.33-3.51
Bi2 0.1780 0.0000 0.6641  1 Tm 3.18, 5 Ho 3.20-3.42, 2 Bi 3.51

---

Entry 2:
A plane-wave DFT calculation with PBE-GGA was carried out for an optimized crystal structure of Ho2Tm5Bi4.

Results
E_form (eV/atom): -0.193
Total energy (eV/atom): -4.469

Lattice parameters (Å, degrees): 24.8960 3.4730 8.0381 90.00 91.45 90.00
Last column: nearest neighbours and their distance in Å.
Space group C2/m (No. 12)
Inequivalent atoms, fractional coordinates:
Ho1 0.2321 0.0000 0.3225  6 Tm 3.34-3.49, 1 Bi 3.39, 4 Ho 3.44-3.47
Tm1 0.0000 0.0000 0.5000  6 Bi 3.26-3.28, 2 Tm 3.47
Tm2 0.1390 0.5000 0.5517  3 Bi 3.06-3.22, 1 Ho 3.34
Tm3 0.1742 0.5000 0.9873  3 Bi 3.28-3.36, 3 Ho 3.45-3.49, 3 Tm 3.47-3.59
Bi1 0.0506 0.5000 0.8088  4 Tm 3.06-3.36
Bi2 0.0983 0.0000 0.2351  5 Tm 3.22-3.28, 1 Ho 3.39, 2 Bi 3.47

---

Entry 3:
A plane-wave DFT calculation with PBE-GGA was carried out for an optimized crystal structure of Ho4TmBi3.

Results
E_form (eV/atom): -0.332
Total energy (eV/atom): -4.636

Lattice parameters (Å, degrees): 15.0951 5.3680 6.2790 90.00 109.97 90.00
Last column: nearest neighbours and their distance in Å.
Space group C2/m (No. 12)
Inequivalent atoms, fractional coordinates:
Ho1 0.1215 0.0000 0.0571  5 Bi 3.20-3.54, 1 Tm 3.35, 3 Ho 3.37-3.49
Ho2 0.2461 0.5000 0.3227  3 Bi 3.19-3.30, 4 Ho 3.37-3.46
Tm1 0.0000 0.0000 0.5000  4 Ho 3.35-3.61, 4 Bi 3.44
Bi1 0.0000 0.5000 0.0000  6 Ho 3.20-3.57, 2 Bi 3.28
Bi2 0.1459 0.5000 0.7139  6 Ho 3.19-3.54, 1 Bi 3.28, 2 Tm 3.44

---

Entry 4:
A plane-wave DFT calculation with PBE-GGA was carried out for an optimized crystal structure of HoTm5Bi5.

Results
E_form (eV/atom): -0.588
Total energy (eV/atom): -4.801

Lattice parameters (Å, degrees): 13.7716 6.2090 8.7560 90.00 108.42 90.00
Last column: nearest neighbours and their distance in Å.
Space group C2/m (No. 12)
Inequivalent atoms, fractional coordinates:
Ho1 0.0000 0.0000 0.0000  6 Bi 3.10-3.15
Tm1 0.0000 0.0000 0.5000  4 Bi 3.07-3.11
Tm2 0.1623 0.5000 0.3368  5 Bi 3.07-3.11
Tm3 0.1628 0.5000 0.8264  5 Bi 3.08-3.14
Bi1 0.0000 0.5000 0.0000  4 Tm 3.08-3.09, 2 Ho 3.10
Bi2 0.1672 0.0000 0.3366  5 Tm 3.07-3.11, 1 Ho 3.11
Bi3 0.1708 0.0000 0.8318  5 Tm 3.10-3.14, 1 Ho 3.15

---

Entry 5:
A plane-wave DFT calculation with PBE-GGA was carried out for an optimized crystal structure of HoTm2Bi2.

Results
E_form (eV/atom): -0.566
Total energy (eV/atom): -4.823

Lattice parameters (Å, degrees): 4.9047 18.0365 6.6059 90.00 90.00 90.00
Last column: nearest neighbours and their distance in Å.
Space group Cmc2_1 (No. 36)
Inequivalent atoms, fractional coordinates:
Ho1 0.0000 0.1168 0.0000  4 Bi 3.13-3.34
Tm1 0.0000 0.3191 0.1305  6 Bi 3.15-3.47
Tm2 0.0000 0.4861 0.7630  4 Bi 3.16-3.26, 2 Tm 3.34, 2 Ho 3.53
Bi1 0.0000 0.0679 0.5257  6 Tm 3.16-3.26, 2 Ho 3.25-3.34
Bi2 0.0000 0.2907 0.6500  2 Ho 3.13, 4 Tm 3.15-3.47

---

Entry 6:
A plane-wave DFT calculation with PBE-GGA was carried out for an optimized crystal structure of HoTm2Bi.

Results
E_form (eV/atom): -0.314
E above lowest polymorph (meV/atom): 89
Total energy (eV/atom): -4.664

Lattice parameters (Å, degrees): 4.0243 4.0243 7.1979 90.00 90.00 90.00
Last column: nearest neighbours and their distance in Å.
Space group P4/mmm (No. 123)
Inequivalent atoms, fractional coordinates:
Ho1 0.0000 0.0000 0.0000  8 Tm 3.42, 2 Bi 3.60
Tm1 0.5000 0.5000 0.2646  4 Bi 3.31, 1 Tm 3.39, 4 Ho 3.42
Bi1 0.0000 0.0000 0.5000  8 Tm 3.31, 2 Ho 3.60

---

Entry 7:
A plane-wave DFT calculation with PBE-GGA was carried out for an optimized crystal structure of HoTmBi2.

Results
E_form (eV/atom): -0.809
E above lowest polymorph (meV/atom): 1
Total energy (eV/atom): -5.011

Lattice parameters (Å, degrees): 7.6943 4.4489 7.6952 90.00 109.55 90.00
Last column: nearest neighbours and their distance in Å.
Space group C2/m (No. 12)
Inequivalent atoms, fractional coordinates:
Ho1 0.0000 0.0000 0.0000  6 Bi 3.15
Tm1 0.0000 0.5000 0.5000  6 Bi 3.13
Bi1 0.2493 0.0000 0.7478  3 Tm 3.13, 3 Ho 3.15

---

Entry 8:
A plane-wave DFT calculation with PBE-GGA was carried out for an optimized crystal structure of HoTm3Bi3.

Results
E_form (eV/atom): -0.652
E above lowest polymorph (meV/atom): 0
Total energy (eV/atom): -4.886

Lattice parameters (Å, degrees): 9.2995 9.2995 9.2995 90.00 90.00 90.00
Last column: nearest neighbours and their distance in Å.
Space group P2_13 (No. 198)
Inequivalent atoms, fractional coordinates:
Ho1 0.0733 0.4267 0.5733  6 Bi 3.14-3.32
Tm1 0.0755 0.5755 0.9245  6 Bi 3.12-3.31
Tm2 0.1764 0.1764 0.1764  6 Bi 3.13-3.31
Tm3 0.1758 0.8242 0.3242  6 Bi 3.13-3.31
Bi1 0.0006 0.2518 0.8757  6 Tm 3.12-3.31, 2 Ho 3.14-3.32

---

Entry 9:
A plane-wave DFT calculation with PBE-GGA was carried out for an optimized crystal structure of HoTm2Bi.

Results
E_form (eV/atom): -0.293
E above lowest polymorph (meV/atom): 110
Total energy (eV/atom): -4.643

Lattice parameters (Å, degrees): 4.8200 4.8200 4.8294 90.00 90.00 90.00
Last column: nearest neighbours and their distance in Å.
Space group P4/mmm (No. 123)
Inequivalent atoms, fractional coordinates:
Ho1 0.0000 0.0000 0.0000  4 Bi 3.41, 8 Tm 3.41
Tm1 0.0000 0.5000 0.5000  4 Tm 3.41, 4 Bi 3.41, 4 Ho 3.41
Bi1 0.5000 0.5000 0.0000  4 Ho 3.41, 8 Tm 3.41

---

Entry 10:
A plane-wave DFT calculation with PBE-GGA was carried out for an optimized crystal structure of HoTm2Bi.

Results
E_form (eV/atom): -0.180
E above lowest polymorph (meV/atom): 223
Total energy (eV/atom): -4.531

Lattice parameters (Å, degrees): 3.6175 3.6175 31.9504 90.00 90.00 120.00
Last column: nearest neighbours and their distance in Å.
Space group R3m (No. 160, hexagonal axes)
Inequivalent atoms, fractional coordinates:
Ho1 0.0000 0.0000 0.0000  6 Tm 3.44-3.46, 6 Ho 3.62
Tm1 0.0000 0.0000 0.2469  3 Bi 3.31, 3 Ho 3.46, 6 Tm 3.62
Tm2 0.0000 0.0000 0.4191  3 Bi 3.32, 3 Ho 3.44, 6 Tm 3.62
Bi1 0.0000 0.0000 0.8332  6 Tm 3.31-3.32, 6 Bi 3.62

---

Entry 11:
A plane-wave DFT calculation with PBE-GGA was carried out for an optimized crystal structure of Ho3TmBi.

Results
E_form (eV/atom): -0.123
Total energy (eV/atom): -4.540

Lattice parameters (Å, degrees): 12.0524 5.7181 9.0746 90.00 90.34 90.00
Last column: nearest neighbours and their distance in Å.
Space group C2/m (No. 12)
Inequivalent atoms, fractional coordinates:
Ho1 0.0909 0.0000 0.3382  3 Bi 3.19-3.49, 1 Tm 3.36
Ho2 0.0993 0.5000 0.6611  3 Bi 3.21-3.37, 1 Ho 3.36
Ho3 0.1095 0.5000 0.0957  1 Bi 3.08, 2 Ho 3.15-3.36, 3 Tm 3.30-3.33
Tm1 0.1147 0.0000 0.9142  1 Bi 3.07, 1 Tm 3.18, 4 Ho 3.30-3.36
Bi1 0.2447 0.0000 0.6249  1 Tm 3.07, 5 Ho 3.08-3.37

---

Entry 12:
A plane-wave DFT calculation with PBE-GGA was carried out for an optimized crystal structure of HoTm3Bi3.

Results
E_form (eV/atom): -0.592
E above lowest polymorph (meV/atom): 61
Total energy (eV/atom): -4.825

Lattice parameters (Å, degrees): 8.9868 8.9868 18.7188 90.00 90.00 120.00
Last column: nearest neighbours and their distance in Å.
Space group R-3 (No. 148, hexagonal axes)
Inequivalent atoms, fractional coordinates:
Ho1 0.0000 0.0000 0.1661  6 Bi 3.20-3.21
Tm1 0.9996 0.2509 0.4198  5 Bi 3.10-3.37
Bi1 0.0016 0.6078 0.4137  5 Tm 3.10-3.37, 2 Ho 3.20-3.21

---

Entry 13:
A plane-wave DFT calculation with PBE-GGA was carried out for an optimized crystal structure of HoTmBi.

Results
E_form (eV/atom): -0.239
Total energy (eV/atom): -4.549

Lattice parameters (Å, degrees): 5.2261 5.2261 3.8047 90.00 90.00 120.00
Last column: nearest neighbours and their distance in Å.
Space group P3m1 (No. 156)
Inequivalent atoms, fractional coordinates:
Ho1 0.0000 0.0000 0.0000  3 Bi 3.20, 3 Tm 3.50
Tm1 0.3333 0.6667 0.5347  3 Bi 3.17, 3 Ho 3.50
Bi1 0.6667 0.3333 0.2835  3 Tm 3.17, 3 Ho 3.20

---

Entry 14:
A plane-wave DFT calculation with PBE-GGA was carried out for an optimized crystal structure of Ho3Tm4Bi4.

Results
E_form (eV/atom): -0.483
Total energy (eV/atom): -4.769

Lattice parameters (Å, degrees): 4.0943 9.2845 17.3428 90.00 90.00 90.00
Last column: nearest neighbours and their distance in Å.
Space group Immm (No. 71)
Inequivalent atoms, fractional coordinates:
Ho1 0.0000 0.0000 0.0000  4 Bi 3.43
Ho2 0.0000 0.5000 0.1036  6 Bi 3.13-3.31
Tm1 0.0000 0.3134 0.3330  4 Bi 3.07-3.17
Bi1 0.0000 0.0000 0.2598  6 Tm 3.13-3.17, 2 Ho 3.13
Bi2 0.0000 0.2032 0.5000  2 Tm 3.07, 6 Ho 3.31-3.43

---

Entry 15:
A plane-wave DFT calculation with PBE-GGA was carried out for an optimized crystal structure of HoTm2Bi.

Results
E_form (eV/atom): 0.038
E above lowest polymorph (meV/atom): 441
Total energy (eV/atom): -4.312

Lattice parameters (Å, degrees): 3.5112 3.5112 35.5870 90.00 90.00 120.00
Last column: nearest neighbours and their distance in Å.
Space group R-3m (No. 166, hexagonal axes)
Inequivalent atoms, fractional coordinates:
Ho1 0.0000 0.0000 0.0000  6 Tm 3.46, 6 Ho 3.51
Tm1 0.0000 0.0000 0.4120  1 Bi 3.13, 3 Ho 3.46
Bi1 0.0000 0.0000 0.5000  2 Tm 3.13

---

Entry 16:
A plane-wave DFT calculation with PBE-GGA was carried out for an optimized crystal structure of HoTm3Bi4.

Results
E_form (eV/atom): -0.800
E above lowest polymorph (meV/atom): 0
Total energy (eV/atom): -4.990

Lattice parameters (Å, degrees): 6.2709 6.2709 6.2709 90.00 90.00 90.00
Last column: nearest neighbours and their distance in Å.
Space group Pm-3m (No. 221)
Inequivalent atoms, fractional coordinates:
Ho1 0.0000 0.0000 0.0000  6 Bi 3.14
Tm1 0.0000 0.5000 0.5000  6 Bi 3.14
Bi1 0.0000 0.0000 0.5000  4 Tm 3.14, 2 Ho 3.14
Bi2 0.5000 0.5000 0.5000  6 Tm 3.14

---

Entry 17:
A plane-wave DFT calculation with PBE-GGA was carried out for an optimized crystal structure of Ho7Tm12Bi.

Results
E_form (eV/atom): 0.154
Total energy (eV/atom): -4.325

Lattice parameters (Å, degrees): 12.0761 12.0761 15.1965 90.00 90.00 120.00
Last column: nearest neighbours and their distance in Å.
Space group R-3 (No. 148, hexagonal axes)
Inequivalent atoms, fractional coordinates:
Ho1 0.0000 0.0000 0.0000  6 Ho 3.44, 6 Tm 3.57
Ho2 0.0189 0.5767 0.7043  7 Tm 3.26-3.60, 3 Ho 3.44-3.58
Tm1 0.0336 0.8457 0.8095  6 Tm 3.43-3.76, 5 Ho 3.54-3.71
Tm2 0.0700 0.4748 0.0875  1 Bi 3.09, 3 Ho 3.26-3.38, 2 Tm 3.36-3.43
Bi1 0.0000 0.0000 0.5000  6 Tm 3.09

---

Entry 18:
A plane-wave DFT calculation with PBE-GGA was carried out for an optimized crystal structure of HoTm2Bi4.

Results
E_form (eV/atom): -0.539
Total energy (eV/atom): -4.688

Lattice parameters (Å, degrees): 4.4752 11.2787 16.8976 90.00 90.00 90.00
Last column: nearest neighbours and their distance in Å.
Space group Cmcm (No. 63)
Inequivalent atoms, fractional coordinates:
Ho1 0.0000 0.0590 0.2500  7 Bi 3.24-3.30
Tm1 0.0000 0.3399 0.0737  6 Bi 2.98-3.31
Bi1 0.0000 0.0000 0.0000  4 Tm 3.13, 4 Bi 3.49
Bi2 0.0000 0.3492 0.6221  3 Tm 3.20-3.31, 2 Ho 3.28, 2 Bi 3.49
Bi3 0.0000 0.3516 0.2500  2 Tm 2.98, 3 Ho 3.24-3.30

---

Entry 19:
A plane-wave DFT calculation with PBE-GGA was carried out for an optimized crystal structure of HoTmBi.

Results
E_form (eV/atom): -0.373
Total energy (eV/atom): -4.683

Lattice parameters (Å, degrees): 3.7299 11.2330 8.5505 90.00 90.00 90.00
Last column: nearest neighbours and their distance in Å.
Space group Pmc2_1 (No. 26)
Inequivalent atoms, fractional coordinates:
Ho1 0.0000 0.1569 0.0000  3 Bi 3.15-3.43, 1 Ho 3.37, 4 Tm 3.40-3.49
Ho2 0.0000 0.3168 0.6663  3 Bi 3.11-3.20, 1 Ho 3.37, 2 Tm 3.48
Tm1 0.5000 0.0558 0.6814  4 Bi 3.30-3.31, 6 Ho 3.40-3.49
Tm2 0.5000 0.3686 0.3070  6 Bi 3.28-3.31, 2 Ho 3.64
Bi1 0.0000 0.1346 0.3786  3 Ho 3.20-3.43, 6 Tm 3.28-3.31
Bi2 0.0000 0.4369 0.9999  3 Ho 3.11-3.16, 4 Tm 3.31

---

Entry 20:
A plane-wave DFT calculation with PBE-GGA was carried out for an optimized crystal structure of HoTm5Bi2.

Results
E_form (eV/atom): -0.245
Total energy (eV/atom): -4.582

Lattice parameters (Å, degrees): 3.6743 10.4767 12.3105 90.00 90.00 90.00
Last column: nearest neighbours and their distance in Å.
Space group Immm (No. 71)
Inequivalent atoms, fractional coordinates:
Ho1 0.0000 0.0000 0.0000  4 Bi 3.43, 2 Ho 3.67
Tm1 0.0000 0.2199 0.3641  3 Bi 3.18-3.35, 5 Tm 3.35-3.41
Tm2 0.0000 0.5000 0.0000  2 Bi 3.26, 8 Tm 3.39
Bi1 0.0000 0.5000 0.2650  7 Tm 3.18-3.35, 2 Ho 3.43